*one*
Here is a geometry-optimized CaPmGa3 structure from Alexandria. Energies are from PBE.

Geometry as POSCAR:
```
CaPmGa3
1.0
2.111 -13.201 0.000
2.111 13.201 0.000
0.000 0.000 4.282
Ca Pm Ga
2 2 6
Direct
0.205 0.795 0.750 Ca
0.795 0.205 0.250 Ca
0.070 0.930 0.250 Pm
0.930 0.070 0.750 Pm
0.330 0.670 0.750 Ga
0.383 0.617 0.250 Ga
0.476 0.524 0.250 Ga
0.524 0.476 0.750 Ga
0.617 0.383 0.750 Ga
0.670 0.330 0.250 Ga
```



*two*
Here is a geometry-optimized CaPmGa3 structure from Alexandria. Energies are from PBE.

Geometry as POSCAR:
```
CaPmGa3
1.0
2.180 -13.110 0.000
2.180 13.110 0.000
0.000 0.000 4.263
Ca Pm Ga
2 2 6
Direct
0.073 0.927 0.750 Ca
0.927 0.073 0.250 Ca
0.204 0.796 0.250 Pm
0.796 0.204 0.750 Pm
0.325 0.675 0.250 Ga
0.381 0.619 0.750 Ga
0.476 0.524 0.750 Ga
0.524 0.476 0.250 Ga
0.619 0.381 0.250 Ga
0.675 0.325 0.750 Ga
```



Most stable pick: *one*. Distance to second place: 7.2 kJ/mol of atoms.